Entry 1:
Compound: MoAsS2N
Source: Alexandria via LeMat-Bulk
Functional: PBE
Structure: optimized geometry

Results
SG   P4/mmm
Crystal system   tetragonal
Energy   -5.30 eV per atom
Total magnetization   3.37 μB/cell

a = 4.8199 Å, b = 4.8199 Å, c = 3.5800 Å
α = 90.00°, β = 90.00°, γ = 90.00°
Last column: nearest neighbours and their distance in Å.
Fractional coordinates of all 5 atoms:
Mo 0.0000 0.0000 0.0000  8 S 3.00
As 0.5000 0.5000 0.5000  2 N 1.79
S 0.0000 0.5000 0.5000  2 As 2.41
S 0.5000 0.0000 0.5000  2 As 2.41
N 0.5000 0.5000 0.0000  2 As 1.79

***

Entry 2:
Compound: MoAsS2N
Source: Alexandria via LeMat-Bulk
Functional: PBE
Structure: optimized geometry

Results
SG   P4/mmm
Crystal system   tetragonal
Energy   -6.02 eV per atom
Total magnetization   0.00 μB/cell

a = 4.8372 Å, b = 4.8372 Å, c = 3.7707 Å
α = 90.00°, β = 90.00°, γ = 90.00°
Last column: nearest neighbours and their distance in Å.
Fractional coordinates of all 5 atoms:
Mo 0.0000 0.0000 0.0000  2 N 1.89
As 0.5000 0.5000 0.5000  8 S 3.07, 4 N 3.42
S 0.0000 0.5000 0.0000  2 Mo 2.42
S 0.5000 0.0000 0.0000  2 Mo 2.42
N 0.0000 0.0000 0.5000  2 Mo 1.89

***

Entry 3:
Compound: MoAs2SN
Source: Alexandria via LeMat-Bulk
Functional: PBE
Structure: optimized geometry

Results
SG   P4/mmm
Crystal system   tetragonal
Energy   -5.35 eV per atom
Total magnetization   1.84 μB/cell

a = 4.9324 Å, b = 4.9324 Å, c = 3.2730 Å
α = 90.00°, β = 90.00°, γ = 90.00°
Last column: nearest neighbours and their distance in Å.
Fractional coordinates of all 5 atoms:
Mo 0.0000 0.0000 0.0000  8 As 2.96, 2 Mo 3.27
As 0.0000 0.5000 0.5000  2 S 2.47
As 0.5000 0.0000 0.5000  2 S 2.47
S 0.5000 0.5000 0.5000  2 N 1.64
N 0.5000 0.5000 0.0000  2 S 1.64

***

Entry 4:
Compound: MoAs2SeN
Source: Alexandria via LeMat-Bulk
Functional: PBE
Structure: optimized geometry

Results
SG   P4/mmm
Crystal system   tetragonal
Energy   -5.09 eV per atom
Total magnetization   2.33 μB/cell

a = 4.9196 Å, b = 4.9196 Å, c = 4.8729 Å
α = 90.00°, β = 90.00°, γ = 90.00°
Last column: nearest neighbours and their distance in Å.
Fractional coordinates of all 5 atoms:
Mo 0.0000 0.0000 0.0000  2 Se 2.44, 4 As 2.46
As 0.0000 0.5000 0.0000  2 Mo 2.46
As 0.5000 0.0000 0.0000  2 Mo 2.46
Se 0.0000 0.0000 0.5000  2 Mo 2.44
N 0.5000 0.5000 0.5000  8 As 3.46, 4 Se 3.48

***

Entry 5:
Compound: MoAsSeN2
Source: Alexandria via LeMat-Bulk
Functional: PBE
Structure: optimized geometry

Results
SG   P4/mmm
Crystal system   tetragonal
Energy   -6.49 eV per atom
Total magnetization   0.69 μB/cell

a = 3.9193 Å, b = 3.9193 Å, c = 5.3507 Å
α = 90.00°, β = 90.00°, γ = 90.00°
Last column: nearest neighbours and their distance in Å.
Fractional coordinates of all 5 atoms:
Mo 0.0000 0.0000 0.0000  4 N 1.96
As 0.5000 0.5000 0.5000  4 Se 2.77
Se 0.0000 0.0000 0.5000  2 Mo 2.68, 4 As 2.77
N 0.0000 0.5000 0.0000  2 Mo 1.96
N 0.5000 0.0000 0.0000  2 Mo 1.96

***

Entry 6:
Compound: MoAsSeN2
Source: Alexandria via LeMat-Bulk
Functional: PBE
Structure: optimized geometry

Results
SG   P4/mmm
Crystal system   tetragonal
Energy   -5.62 eV per atom
Total magnetization   3.00 μB/cell

a = 3.6994 Å, b = 3.6994 Å, c = 6.5449 Å
α = 90.00°, β = 90.00°, γ = 90.00°
Last column: nearest neighbours and their distance in Å.
Fractional coordinates of all 5 atoms:
Mo 0.0000 0.0000 0.0000  4 Se 2.62
As 0.5000 0.5000 0.5000  4 N 1.85
Se 0.5000 0.5000 0.0000  4 Mo 2.62
N 0.0000 0.5000 0.5000  2 As 1.85
N 0.5000 0.0000 0.5000  2 As 1.85